This record from Alexandria via LeMat-Bulk describes an optimized crystal structure of GaWN3. The functional is GGA-PBE.

a = 3.977 Å, b = 3.977 Å, c = 3.977 Å
α = 90.00°, β = 90.00°, γ = 90.00°
Positions (direct):
Ga: 0.500 0.500 0.500
W: 0.000 0.000 0.000
N: 0.000 0.500 0.000
N: 0.500 0.000 0.000
N: 0.000 0.000 0.500

Computed properties:
E_form (uncorrected) = 0.54 eV/atom
Density of states at the Fermi level = 2.0 states/eV/f.u.